(1)
This record from OQMD via LeMat-Bulk describes a relaxed AcLaSc crystal. The functional is PBE.

abc: 5.525 5.525 5.525
angles: 60.00 60.00 60.00
Sites, in units of the cell vectors:
Sc 0.000 0.000 0.000
La 0.750 0.750 0.750
Ac 0.250 0.250 0.250

Properties
Energy (eV/atom): -4.54
SG: No. 216
Formation enthalpy at 0 K (eV/atom): 0.58
Offset from the most stable computed form (eV per formula unit): 0.000



(2)
This record from OQMD via LeMat-Bulk describes a relaxed AcLaTa crystal. The functional is PBE.

abc: 5.259 5.259 5.259
angles: 60.00 60.00 60.00
Sites, in units of the cell vectors:
Ac 0.750 0.750 0.750
Ta 0.000 0.000 0.000
La 0.250 0.250 0.250

Properties
Energy (eV/atom): -6.12
SG: No. 216
Formation enthalpy at 0 K (eV/atom): 0.85



(3)
This record from OQMD via LeMat-Bulk describes a relaxed AcLaTb crystal. The functional is PBE.

abc: 5.640 5.640 5.640
angles: 60.00 60.00 60.00
Sites, in units of the cell vectors:
La 0.000 0.000 0.000
Tb 0.750 0.750 0.750
Ac 0.250 0.250 0.250

Properties
Energy (eV/atom): -3.85
SG: No. 216
Formation enthalpy at 0 K (eV/atom): 0.70



(4)
This record from OQMD via LeMat-Bulk describes a relaxed AcLaTh crystal. The functional is PBE.

abc: 5.604 5.604 5.604
angles: 60.00 60.00 60.00
Sites, in units of the cell vectors:
Ac 0.250 0.250 0.250
Th 0.750 0.750 0.750
La 0.000 0.000 0.000

Properties
Energy (eV/atom): -4.72
SG: No. 216
Formation enthalpy at 0 K (eV/atom): 0.76
Offset from the most stable computed form (eV per formula unit): 0.000



(5)
This record from OQMD via LeMat-Bulk describes a relaxed LiAcLu crystal. The functional is PBE.

abc: 5.412 5.412 5.412
angles: 60.00 60.00 60.00
Sites, in units of the cell vectors:
Li 0.250 0.250 0.250
Ac 0.000 0.000 0.000
Lu 0.750 0.750 0.750

Properties
Energy (eV/atom): -2.61
SG: No. 216
Offset from the most stable computed form (eV per formula unit): 1.333



(6)
This record from OQMD via LeMat-Bulk describes a relaxed LiAcLu crystal. The functional is PBE.

abc: 5.238 5.238 5.238
angles: 60.00 60.00 60.00
Sites, in units of the cell vectors:
Lu 0.500 0.500 0.500
Ac 0.000 0.000 0.000
Li 0.750 0.750 0.750

Properties
Energy (eV/atom): -3.06
SG: No. 216
Offset from the most stable computed form (eV per formula unit): 0.000